1.
A relaxed structure of Ho4Cd2In, computed with PBE-GGA.

Cell: 5.0593 5.0593 28.8803 Å, 90.00 90.00 120.00°
Space group R-3m (No. 166, hexagonal axes)
Unique sites:
Ho  0.0000  0.0000  0.1219
Ho  0.0000  0.0000  0.2967
Cd  0.0000  0.0000  0.4019
In  0.0000  0.0000  0.5000

Calculated values
Energy of formation from the pure elements: -0.015 eV per atom
Crystal system: trigonal
Electronic total energy: -3.284 eV/atom
ΔE to the lowest computed polymorph: 165.9 meV/atom

---

2.
A relaxed structure of Sb2AsRuI, computed with PBE-GGA.

Cell: 5.069 5.069 5.446 Å, 90.00 90.00 90.00°
Space group P4/mmm (No. 123)
Unique sites:
Sb  0.000  0.500  0.000
As  0.000  0.000  0.500
Ru  0.500  0.500  0.000
I  0.500  0.500  0.500

Calculated values
Crystal system: tetragonal
Electronic total energy: -4.102 eV/atom
ΔE to the lowest computed polymorph: 0.0 meV/atom

---

3.
A relaxed structure of RbV2IrSe8, computed with PBE-GGA.

Cell: 6.3719 6.3719 9.5029 Å, 90.00 90.00 120.00°
Space group P-3 (No. 147)
Unique sites:
Rb  0.0000  0.0000  0.0000
V  0.3333  0.6667  0.7214
Ir  0.0000  0.0000  0.5000
Se  0.0111  0.6829  0.3503
Se  0.3333  0.6667  0.9601

Calculated values
Crystal system: trigonal
Electronic total energy: -5.042 eV/atom

---

4.
A relaxed structure of Mg4CdAg2Pd, computed with PBE-GGA.

Cell: 4.6896 4.6896 23.3014 Å, 90.00 90.00 120.00°
Space group R-3m (No. 166, hexagonal axes)
Unique sites:
Mg  0.0000  0.0000  0.1183
Mg  0.0000  0.0000  0.3697
Cd  0.0000  0.0000  0.5000
Ag  0.0000  0.0000  0.2491
Pd  0.0000  0.0000  0.0000

Calculated values
Energy of formation from the pure elements: -0.334 eV per atom
Crystal system: trigonal
Electronic total energy: -2.607 eV/atom

---

5.
A relaxed structure of HfNb2Tc2, computed with PBE-GGA.

Cell: 7.734 7.734 2.983 Å, 90.00 90.00 90.00°
Space group P4/mbm (No. 127)
Unique sites:
Hf  0.000  0.000  0.000
Nb  0.143  0.357  0.000
Tc  0.158  0.658  0.500

Calculated values
Energy of formation from the pure elements: 0.113 eV per atom
Crystal system: tetragonal
Electronic total energy: -10.052 eV/atom
ΔE to the lowest computed polymorph: 203.7 meV/atom

---

6.
A relaxed structure of Rb2TlSb2, computed with PBE-GGA.

Cell: 12.819 5.847 12.579 Å, 90.00 120.02 90.00°
Space group C2/m (No. 12)
Unique sites:
Rb  0.005  0.000  0.185
Rb  0.185  0.000  0.601
Tl  0.223  0.500  0.860
Sb  0.016  0.500  0.395
Sb  0.127  0.500  0.052

Calculated values
Crystal system: monoclinic
Electronic total energy: -2.823 eV/atom
ΔE to the lowest computed polymorph: 0.0 meV/atom

---

7.
A relaxed structure of TaAu, computed with PBE-GGA.

Cell: 2.9486 2.9486 29.0456 Å, 90.00 90.00 120.00°
Space group R-3m (No. 166, hexagonal axes)
Unique sites:
Ta  0.0000  0.0000  0.1230
Au  0.0000  0.0000  0.3758

Calculated values
Energy of formation from the pure elements: 0.104 eV per atom
Crystal system: trigonal
Electronic total energy: -7.461 eV/atom

---

8.
A relaxed structure of Sm2SnSe5, computed with PBE-GGA.

Cell: 8.207 12.133 4.058 Å, 90.00 90.00 90.00°
Space group Pbam (No. 55)
Unique sites:
Sm  0.029  0.174  0.000
Sn  0.000  0.500  0.500
Se  0.000  0.000  0.500
Se  0.171  0.401  0.000
Se  0.179  0.695  0.500

Calculated values
Crystal system: orthorhombic
Electronic total energy: -5.160 eV/atom
ΔE to the lowest computed polymorph: 0.0 meV/atom